! Mg2InSb | Alexandria via LeMat-Bulk | GGA-PBEsol | optimized geometry; values from VASP
&SYSTEM
  ibrav = 0, nat = 4, ntyp = 3
/
ATOMIC_SPECIES
Mg 24.30 Mg.upf
Sb 121.76 Sb.upf
In 114.82 In.upf
CELL_PARAMETERS angstrom
-3.086 -0.777 -1.336
3.627 -2.032 -2.737
-0.836 -4.138 4.340
ATOMIC_POSITIONS angstrom
Mg 0.821 -2.299 -0.559
Sb -1.543 -0.389 -0.668
In -0.418 -2.069 2.170
Mg -1.117 -4.649 0.826
! total magnetic moment: 0.00 μB per atom
! ΔE to the lowest computed polymorph: 0.023 eV per atom
! final energy: -2.89 eV per atom
! space group: C2/m, No. 12

=====

! Y2ScOs | Alexandria via LeMat-Bulk | GGA-PBEsol | optimized geometry; values from VASP
&SYSTEM
  ibrav = 0, nat = 4, ntyp = 3
/
ATOMIC_SPECIES
Y 88.91 Y.upf
Sc 44.96 Sc.upf
Os 190.23 Os.upf
CELL_PARAMETERS angstrom
3.434 0.000 0.000
0.000 5.051 0.000
-1.717 -2.526 5.312
ATOMIC_POSITIONS angstrom
Y 1.717 0.000 3.147
Y 1.717 2.526 5.311
Sc 0.000 2.526 2.080
Os 1.717 2.526 0.086
! total magnetic moment: 0.00 μB per atom
! ΔE to the lowest computed polymorph: 0.000 eV per atom
! formation energy from the elements: -0.166 eV/atom
! final energy: -8.28 eV per atom
! space group: Imm2, No. 44

=====

! TcW | Alexandria via LeMat-Bulk | GGA-PBEsol | optimized geometry; values from VASP
&SYSTEM
  ibrav = 0, nat = 2, ntyp = 2
/
ATOMIC_SPECIES
Tc 98.00 Tc.upf
W 183.84 W.upf
CELL_PARAMETERS angstrom
-2.301 -1.817 1.002
0.684 -2.077 -2.195
1.959 -1.408 1.944
ATOMIC_POSITIONS angstrom
Tc 0.171 -2.651 0.376
W 0.000 0.000 0.000
! total magnetic moment: 0.00 μB per atom
! ΔE to the lowest computed polymorph: 0.004 eV per atom
! formation energy from the elements: 0.083 eV/atom
! final energy: -12.45 eV per atom
! space group: Pm-3m, No. 221